CsUMnO6, relaxed, DFT PBE+U; N(E_F) = 0.6809 states/eV per atom; total energy = -7.5501 eV per atom; space-group type = P312
1.0
5.385 0.000 0.000
-2.693 4.664 0.000
0.000 0.000 6.766
Cs U Mn O
1 1 1 6
Cartesian
0.000 0.000 0.000
0.000 3.109 3.383
2.693 1.555 3.383
2.060 0.088 4.461
1.106 1.739 2.304
3.326 0.088 2.304
1.739 2.836 4.461
4.279 1.739 4.461
3.646 2.836 2.304